Entry 1:
## LiVNi (PBE)

Data for a relaxed LiVNi crystal.

a = 4.524 Å, b = 2.417 Å, c = 7.255 Å
α = 90.00°, β = 101.05°, γ = 90.00°
Atoms (fractional coordinates):
1 Li 0.845 0.250 0.317
2 Li 0.155 0.750 0.683
3 V 0.267 0.250 0.068
4 V 0.733 0.750 0.932
5 Ni 0.640 0.250 0.631
6 Ni 0.360 0.750 0.369

Results
calculated formation energy: 0.10 eV per atom
crystal system: monoclinic
energy: -0.2023 hartree per atom
ΔE to the lowest computed polymorph: 16.2 meV per atom



Entry 2:
## LiVNi (PBE)

Data for a relaxed LiVNi crystal.

a = 2.498 Å, b = 4.892 Å, c = 6.336 Å
α = 76.46°, β = 82.90°, γ = 76.09°
Atoms (fractional coordinates):
1 Li 0.822 0.335 0.643
2 Li 0.178 0.665 0.357
3 V 0.000 0.500 0.000
4 V 0.500 0.000 0.000
5 Ni 0.326 0.850 0.676
6 Ni 0.674 0.150 0.324

Results
calculated formation energy: 0.08 eV per atom
crystal system: triclinic
energy: -0.2029 hartree per atom
ΔE to the lowest computed polymorph: 0.0 meV per atom



Entry 3:
## Li2VNi (PBE)

Data for a relaxed Li2VNi crystal.

a = 4.215 Å, b = 4.215 Å, c = 4.215 Å
α = 60.00°, β = 60.00°, γ = 60.00°
Last column: magnetic moment on the atom in μB.
Atoms (fractional coordinates):
1 Ni 0.500 0.500 0.500  0.16
2 V 0.000 0.000 0.000  2.54
3 Li 0.250 0.250 0.250  0.06
4 Li 0.750 0.750 0.750  0.06

Results
calculated formation energy: 0.50 eV per atom
crystal system: cubic
energy: -0.1536 hartree per atom
ΔE to the lowest computed polymorph: 313.9 meV per atom



Entry 4:
## LiVNi (PBE)

Data for a relaxed LiVNi crystal.

a = 6.749 Å, b = 2.958 Å, c = 4.012 Å
α = 90.00°, β = 107.03°, γ = 90.00°
Atoms (fractional coordinates):
1 Li 0.715 0.000 0.505
2 Li 0.715 0.500 0.005
3 V 0.334 0.000 0.812
4 V 0.334 0.500 0.312
5 Ni 0.033 0.000 0.164
6 Ni 0.033 0.500 0.664

Results
calculated formation energy: 0.11 eV per atom
crystal system: monoclinic
energy: -0.2018 hartree per atom
ΔE to the lowest computed polymorph: 30.5 meV per atom



Entry 5:
## LiVNi3 (PBE)

Data for a relaxed LiVNi3 crystal.

a = 4.320 Å, b = 4.320 Å, c = 4.320 Å
α = 90.00°, β = 90.00°, γ = 90.00°
Atoms (fractional coordinates):
1 Ni 0.000 0.500 0.000
2 Ni 0.000 0.000 0.500
3 Ni 0.500 0.000 0.000
4 V 0.000 0.000 0.000
5 Li 0.500 0.500 0.500

Results
calculated formation energy: 0.81 eV per atom
crystal system: cubic
energy: -0.1790 hartree per atom
ΔE to the lowest computed polymorph: 810.1 meV per atom



Entry 6:
## LiVNi14 (PBE)

Data for a relaxed LiVNi14 crystal.

a = 4.988 Å, b = 4.988 Å, c = 7.051 Å
α = 90.00°, β = 90.00°, γ = 90.01°
Last column: magnetic moment on the atom in μB.
Atoms (fractional coordinates):
1 Li 0.375 0.375 0.500  -0.01
2 V 0.875 0.875 0.500  -0.32
3 Ni 0.875 0.875 0.000  0.83
4 Ni 0.375 0.375 0.000  0.57
5 Ni 0.875 0.375 0.500  0.39
6 Ni 0.875 0.375 0.000  0.56
7 Ni 0.375 0.875 0.500  0.39
8 Ni 0.375 0.875 0.000  0.56
9 Ni 0.626 0.124 0.249  0.51
10 Ni 0.626 0.124 0.751  0.51
11 Ni 0.124 0.626 0.249  0.51
12 Ni 0.124 0.626 0.751  0.51
13 Ni 0.626 0.626 0.249  0.51
14 Ni 0.626 0.626 0.751  0.51
15 Ni 0.124 0.124 0.249  0.51
16 Ni 0.124 0.124 0.751  0.51

Results
calculated formation energy: -0.05 eV per atom
crystal system: tetragonal
energy: -0.2130 hartree per atom



Entry 7:
## LiVNi4 (PBE)

Data for a relaxed LiVNi4 crystal.

a = 3.989 Å, b = 4.667 Å, c = 8.301 Å
α = 74.62°, β = 90.00°, γ = 115.30°
Atoms (fractional coordinates):
1 Li 0.250 0.000 0.250
2 Li 0.750 0.000 0.750
3 V 0.500 0.500 0.000
4 V 0.000 0.500 0.500
5 Ni 0.012 0.525 0.158
6 Ni 0.488 0.475 0.342
7 Ni 0.988 0.475 0.842
8 Ni 0.512 0.525 0.658
9 Ni 0.242 0.983 0.593
10 Ni 0.258 0.017 0.907
11 Ni 0.758 0.017 0.407
12 Ni 0.742 0.983 0.093

Results
calculated formation energy: -0.03 eV per atom
crystal system: monoclinic
energy: -0.2103 hartree per atom
ΔE to the lowest computed polymorph: 0.0 meV per atom



Entry 8:
## LiVNi4 (PBE)

Data for a relaxed LiVNi4 crystal.

a = 4.025 Å, b = 4.940 Å, c = 8.071 Å
α = 90.00°, β = 104.44°, γ = 90.00°
Atoms (fractional coordinates):
1 Li 0.856 0.822 0.711
2 Li 0.144 0.322 0.289
3 V 0.570 0.823 0.140
4 V 0.430 0.323 0.860
5 Ni 0.846 0.322 0.692
6 Ni 0.154 0.822 0.308
7 Ni 0.427 0.823 0.854
8 Ni 0.573 0.323 0.146
9 Ni 0.706 0.575 0.412
10 Ni 0.294 0.075 0.588
11 Ni 0.706 0.069 0.412
12 Ni 0.294 0.569 0.588

Results
calculated formation energy: 0.23 eV per atom
crystal system: orthorhombic
energy: -0.2009 hartree per atom
ΔE to the lowest computed polymorph: 254.3 meV per atom



Entry 9:
## LiVNi3 (PBE)

Data for a relaxed LiVNi3 crystal.

a = 4.494 Å, b = 4.805 Å, c = 6.349 Å
α = 112.24°, β = 79.52°, γ = 90.00°
Atoms (fractional coordinates):
1 Li 0.778 0.441 0.883
2 Li 0.222 0.559 0.117
3 V 0.858 0.809 0.617
4 V 0.142 0.191 0.383
5 Ni 0.681 0.914 0.319
6 Ni 0.681 0.405 0.319
7 Ni 0.319 0.595 0.681
8 Ni 0.319 0.086 0.681
9 Ni 0.000 0.000 0.000
10 Ni 0.500 0.000 0.000

Results
calculated formation energy: 0.01 eV per atom
crystal system: monoclinic
energy: -0.2082 hartree per atom
ΔE to the lowest computed polymorph: 16.1 meV per atom



Entry 10:
## LiVNi3 (PBE)

Data for a relaxed LiVNi3 crystal.

a = 3.895 Å, b = 3.895 Å, c = 3.895 Å
α = 90.00°, β = 90.00°, γ = 90.00°
Last column: magnetic moment on the atom in μB.
Atoms (fractional coordinates):
1 Ni 0.000 0.500 0.000  0.08
2 Ni 0.000 0.000 0.500  0.08
3 Ni 0.500 0.000 0.000  0.08
4 V 0.500 0.500 0.500  1.61
5 Li 0.000 0.000 0.000  -0.03

Results
calculated formation energy: 0.64 eV per atom
crystal system: cubic
energy: -0.1851 hartree per atom
ΔE to the lowest computed polymorph: 644.4 meV per atom



Entry 11:
## LiVNi (PBE)

Data for a relaxed LiVNi crystal.

a = 2.719 Å, b = 6.613 Å, c = 8.856 Å
α = 90.47°, β = 98.83°, γ = 90.00°
Atoms (fractional coordinates):
1 Li 0.038 0.269 0.075
2 Li 0.415 0.073 0.830
3 Li 0.585 0.927 0.170
4 Li 0.962 0.731 0.925
5 V 0.184 0.549 0.369
6 V 0.730 0.850 0.460
7 V 0.816 0.451 0.631
8 V 0.270 0.150 0.540
9 Ni 0.431 0.433 0.862
10 Ni 0.662 0.245 0.325
11 Ni 0.569 0.567 0.138
12 Ni 0.338 0.755 0.675

Results
calculated formation energy: 0.09 eV per atom
crystal system: monoclinic
energy: -0.2028 hartree per atom
ΔE to the lowest computed polymorph: 3.7 meV per atom



Entry 12:
## LiVNi (PBE)

Data for a relaxed LiVNi crystal.

a = 6.717 Å, b = 2.594 Å, c = 4.399 Å
α = 90.00°, β = 91.52°, γ = 90.00°
Atoms (fractional coordinates):
1 Li 0.290 0.000 0.790
2 Li 0.290 0.500 0.290
3 V 0.662 0.000 0.452
4 V 0.662 0.500 0.952
5 Ni 0.965 0.000 0.120
6 Ni 0.965 0.500 0.620

Results
calculated formation energy: 0.12 eV per atom
crystal system: monoclinic
energy: -0.2017 hartree per atom
ΔE to the lowest computed polymorph: 33.0 meV per atom



Entry 13:
## LiVNi (PBE)

Data for a relaxed LiVNi crystal.

a = 4.120 Å, b = 4.120 Å, c = 2.426 Å
α = 90.00°, β = 90.00°, γ = 120.00°
Atoms (fractional coordinates):
1 Li 0.667 0.333 0.185
2 V 0.333 0.667 0.819
3 Ni 0.000 0.000 0.476

Results
calculated formation energy: 0.14 eV per atom
crystal system: trigonal
energy: -0.2007 hartree per atom
ΔE to the lowest computed polymorph: 61.0 meV per atom



Entry 14:
## Li2VNi2 (PBE)

Data for a relaxed Li2VNi2 crystal.

a = 3.116 Å, b = 3.116 Å, c = 6.745 Å
α = 103.36°, β = 103.36°, γ = 90.00°
Atoms (fractional coordinates):
1 Li 0.750 0.250 0.500
2 Li 0.250 0.750 0.500
3 V 0.000 0.000 0.000
4 Ni 0.407 0.407 0.814
5 Ni 0.593 0.593 0.186

Results
calculated formation energy: 0.19 eV per atom
crystal system: tetragonal
energy: -0.1732 hartree per atom
ΔE to the lowest computed polymorph: 14.5 meV per atom



Entry 15:
## Li3VNi (PBE)

Data for a relaxed Li3VNi crystal.

a = 4.629 Å, b = 4.629 Å, c = 4.629 Å
α = 90.00°, β = 90.00°, γ = 90.00°
Last column: magnetic moment on the atom in μB.
Atoms (fractional coordinates):
1 Ni 0.500 0.500 0.500  0.48
2 V 0.000 0.000 0.000  3.29
3 Li 0.000 0.500 0.000  0.10
4 Li 0.000 0.000 0.500  0.10
5 Li 0.500 0.000 0.000  0.10

Results
calculated formation energy: 1.34 eV per atom
crystal system: cubic
energy: -0.1026 hartree per atom



Entry 16:
## LiVNi2 (PBE)

Data for a relaxed LiVNi2 crystal.

a = 2.619 Å, b = 2.619 Å, c = 6.939 Å
α = 90.00°, β = 90.00°, γ = 90.00°
Atoms (fractional coordinates):
1 Ni 0.000 0.000 0.743
2 Ni 0.000 0.000 0.257
3 Li 0.500 0.500 0.000
4 V 0.500 0.500 0.500

Results
calculated formation energy: -0.07 eV per atom
crystal system: tetragonal
energy: -0.2103 hartree per atom



Entry 17:
## LiVZnNi (PBE)

Data for a relaxed LiVZnNi crystal.

a = 4.093 Å, b = 4.093 Å, c = 4.093 Å
α = 60.00°, β = 60.00°, γ = 60.00°
Atoms (fractional coordinates):
1 Ni 0.000 0.000 0.000
2 Zn 0.250 0.250 0.250
3 Li 0.500 0.500 0.500
4 V 0.750 0.750 0.750

Results
calculated formation energy: -0.06 eV per atom
crystal system: cubic
energy: -0.1682 hartree per atom



Entry 18:
## Li2NiW (PBE)

Data for a relaxed Li2NiW crystal.

a = 2.655 Å, b = 2.655 Å, c = 8.703 Å
α = 90.00°, β = 90.00°, γ = 106.15°
Atoms (fractional coordinates):
1 Li 0.000 0.000 0.992
2 Li 0.500 0.500 0.281
3 Ni 0.000 0.000 0.503
4 W 0.500 0.500 0.724

Results
calculated formation energy: 0.20 eV per atom
crystal system: orthorhombic
energy: -0.1999 hartree per atom
ΔE to the lowest computed polymorph: 0.0 meV per atom



Entry 19:
## LiNiW2 (PBE)

Data for a relaxed LiNiW2 crystal.

a = 4.315 Å, b = 4.315 Å, c = 4.315 Å
α = 60.00°, β = 60.00°, γ = 60.00°
Atoms (fractional coordinates):
1 Li 0.500 0.500 0.500
2 Ni 0.750 0.750 0.750
3 W 0.000 0.000 0.000
4 W 0.250 0.250 0.250

Results
calculated formation energy: 0.45 eV per atom
crystal system: cubic
energy: -0.2923 hartree per atom
ΔE to the lowest computed polymorph: 240.9 meV per atom



Entry 20:
## Li2NiW (PBE)

Data for a relaxed Li2NiW crystal.

a = 2.620 Å, b = 4.406 Å, c = 4.739 Å
α = 90.00°, β = 90.00°, γ = 90.00°
Atoms (fractional coordinates):
1 Li 0.000 0.000 0.000
2 Li 0.500 0.500 0.000
3 Ni 0.500 0.000 0.500
4 W 0.000 0.500 0.500

Results
calculated formation energy: 0.29 eV per atom
crystal system: orthorhombic
energy: -0.1966 hartree per atom
ΔE to the lowest computed polymorph: 91.3 meV per atom